[1]
The following is a DFT calculation (PBE) of crystalline PaCdC2O8 at its relaxed geometry.

a b c (Å): 4.6429 4.6429 21.3127
angles (deg): 90.00 90.00 120.00
Closest atoms and distances in Å follow each position.
Space group R32 (No. 155, hexagonal axes)
Asymmetric unit:
Pa 0.0000 0.0000 0.0000 (multiplicity 3)  6 O 2.21
Cd 0.0000 0.0000 0.5000 (multiplicity 3)  12 O 2.70
C 0.0000 0.0000 0.2454 (multiplicity 6)  4 O 1.36-1.40
O 0.0000 0.0000 0.1815 (multiplicity 6)  1 C 1.36
O 0.0134 0.2907 0.2678 (multiplicity 18)  1 C 1.40

For the total energy, the calculation gives -7.277 eV per atom.

=====

[2]
The following is a DFT calculation (PBE) of crystalline CsRb7Na4 at its relaxed geometry.

a b c (Å): 19.2044 7.9238 14.3073
angles (deg): 90.00 124.29 90.00
Closest atoms and distances in Å follow each position.
Space group C2/m (No. 12)
Asymmetric unit:
Cs 0.0000 0.0000 0.0000 (multiplicity 2)  2 Rb 3.96
Rb 0.0000 0.5000 0.0000 (multiplicity 2)  2 Cs 3.96, 4 Na 4.02-4.03
Rb 0.0693 0.0000 0.3953 (multiplicity 4)  3 Na 4.16-4.43, 1 Rb 4.63
Rb 0.1911 0.5000 0.6379 (multiplicity 4)  2 Na 4.05-4.21
Rb 0.2171 0.0000 0.8848 (multiplicity 4)  4 Na 4.57-4.84, 4 Rb 4.63-4.84
Na 0.0414 0.5000 0.7536 (multiplicity 4)  1 Na 3.67, 2 Rb 4.03-4.05
Na 0.1786 0.5000 0.3343 (multiplicity 4)  1 Na 3.67, 1 Rb 4.02

The value obtained for the formation energy is 0.740 eV per formula unit.

=====

[3]
The following is a DFT calculation (PBE) of crystalline La5Ga2Br2 at its relaxed geometry.

a b c (Å): 15.6772 8.2579 8.1013
angles (deg): 90.00 90.00 90.00
Closest atoms and distances in Å follow each position.
Space group Cmce (No. 64)
Asymmetric unit:
La 0.0000 0.0000 0.0000 (multiplicity 4)  2 Br 3.07, 4 Ga 3.24-3.27
La 0.1372 0.1710 0.3378 (multiplicity 16)  3 Br 3.15-3.25, 3 Ga 3.16-3.27
Ga 0.0000 0.1219 0.6195 (multiplicity 8)  1 Ga 2.79
Br 0.1956 0.0000 0.0000 (multiplicity 8)  7 La 3.07-3.25

For the total energy, the calculation gives -4.610 eV per atom.

=====

[4]
The following is a DFT calculation (PBE) of crystalline Y10ThSc4 at its relaxed geometry.

a b c (Å): 12.2828 12.2828 6.5966
angles (deg): 90.00 90.00 90.00
Closest atoms and distances in Å follow each position.
Space group I4/m (No. 87)
Asymmetric unit:
Y 0.0000 0.5000 0.2500 (multiplicity 4)  6 Y 3.10-3.30
Y 0.1210 0.7219 0.2428 (multiplicity 16)  4 Y 3.10-3.39, 2 Sc 3.15-3.16
Th 0.0000 0.0000 0.0000 (multiplicity 2)  8 Sc 4.00, 8 Y 4.06
Sc 0.0675 0.1722 0.5000 (multiplicity 8)  4 Y 3.15-3.16, 2 Sc 3.21

The value obtained for the formation energy is 9.247 eV per formula unit.